{"formula": "Tb9Pr4Tl11", "functional": "GGA-PBE", "state": "relaxed", "space_group": "No. 65", "e_form_ev_per_atom": -0.2863, "lattice": [[8.200, -11.698, 0.000], [8.200, 11.698, 0.000], [0.000, 0.000, 3.593]], "species": ["Tb", "Tb", "Tb", "Tb", "Tb", "Tb", "Tb", "Tb", "Tb", "Pr", "Pr", "Pr", "Pr", "Tl", "Tl", "Tl", "Tl", "Tl", "Tl", "Tl", "Tl", "Tl", "Tl", "Tl"], "fractional_positions": [[0.000, 0.000, 0.000], [0.112, 0.661, 0.000], [0.297, 0.488, 0.000], [0.339, 0.888, 0.000], [0.488, 0.297, 0.000], [0.512, 0.703, 0.000], [0.661, 0.112, 0.000], [0.703, 0.512, 0.000], [0.888, 0.339, 0.000], [0.089, 0.251, 0.000], [0.251, 0.089, 0.000], [0.749, 0.911, 0.000], [0.911, 0.749, 0.000], [0.091, 0.456, 0.500], [0.124, 0.876, 0.500], [0.297, 0.297, 0.500], [0.312, 0.688, 0.500], [0.456, 0.091, 0.500], [0.500, 0.500, 0.500], [0.544, 0.909, 0.500], [0.688, 0.312, 0.500], [0.703, 0.703, 0.500], [0.876, 0.124, 0.500], [0.909, 0.544, 0.500]]}

---

{"formula": "PaCrN", "functional": "GGA-PBE", "state": "relaxed", "space_group": "No. 107", "formation_energy_uncorrected_kj_per_mol_fu": -39, "polymorph_energy_mev_per_atom": 440, "lattice": [[-1.661, 1.661, 5.200], [1.661, -1.661, 5.200], [1.661, 1.661, -5.200]], "species": ["Pa", "Cr", "N"], "fractional_positions": [[0.000, 0.000, 0.000], [0.698, 0.698, 0.000], [0.495, 0.495, 0.000]]}

---

{"formula": "Pa2GaRh", "functional": "GGA-PBE", "state": "relaxed", "space_group": "No. 123", "e_form_ev_per_atom": -0.4456, "polymorph_energy_mev_per_atom": 12, "lattice": [[3.140, 0.000, 0.000], [0.000, 3.140, 0.000], [0.000, 0.000, 8.368]], "species": ["Pa", "Pa", "Ga", "Rh"], "fractional_positions": [[0.000, 0.000, 0.237], [0.000, 0.000, 0.763], [0.500, 0.500, 0.500], [0.500, 0.500, 0.000]]}

---

{"formula": "CdTe6Pb5", "functional": "GGA-PBE", "state": "relaxed", "space_group": "No. 12", "formation_energy_uncorrected_kj_per_mol_fu": -439, "lattice": [[3.971, -6.874, 0.000], [3.971, 6.874, 0.000], [-2.662, 0.000, 7.494]], "species": ["Cd", "Te", "Te", "Te", "Te", "Te", "Te", "Pb", "Pb", "Pb", "Pb", "Pb"], "fractional_positions": [[0.000, 0.000, 0.000], [0.080, 0.399, 0.240], [0.238, 0.238, 0.754], [0.399, 0.080, 0.240], [0.601, 0.920, 0.760], [0.762, 0.762, 0.246], [0.920, 0.601, 0.760], [0.169, 0.831, 0.500], [0.334, 0.666, 0.000], [0.500, 0.500, 0.500], [0.666, 0.334, 0.000], [0.831, 0.169, 0.500]]}

---

{"formula": "MgCu2SbSe4", "functional": "GGA-PBE", "state": "relaxed", "space_group": "No. 121", "formation_energy_uncorrected_kj_per_mol_fu": -306, "lattice": [[-2.955, 2.955, 5.829], [2.955, -2.955, 5.829], [2.955, 2.955, -5.829]], "species": ["Mg", "Cu", "Cu", "Sb", "Se", "Se", "Se", "Se"], "fractional_positions": [[0.000, 0.000, 0.000], [0.250, 0.750, 0.500], [0.750, 0.250, 0.500], [0.500, 0.500, 0.000], [0.100, 0.100, 0.484], [0.383, 0.900, 0.000], [0.617, 0.617, 0.516], [0.900, 0.383, 0.000]]}

---

{"formula": "AcTl3B4O12", "functional": "GGA-PBE", "state": "relaxed", "space_group": "No. 155", "formation_energy_uncorrected_kj_per_mol_fu": -3705, "lattice": [[5.143, 2.969, 2.860], [-5.143, 2.969, 2.860], [0.000, -5.939, 2.860]], "species": ["Ac", "Tl", "Tl", "Tl", "B", "B", "B", "B", "O", "O", "O", "O", "O", "O", "O", "O", "O", "O", "O", "O"], "fractional_positions": [[0.000, 0.000, 0.000], [0.000, 0.536, 0.464], [0.464, 0.000, 0.536], [0.536, 0.464, 0.000], [0.042, 0.500, 0.958], [0.500, 0.500, 0.500], [0.500, 0.958, 0.042], [0.958, 0.042, 0.500], [0.025, 0.628, 0.818], [0.093, 0.907, 0.500], [0.182, 0.372, 0.975], [0.365, 0.635, 0.500], [0.372, 0.975, 0.182], [0.500, 0.093, 0.907], [0.500, 0.365, 0.635], [0.628, 0.818, 0.025], [0.635, 0.500, 0.365], [0.818, 0.025, 0.628], [0.907, 0.500, 0.093], [0.975, 0.182, 0.372]]}

---

{"formula": "ZnCdHRh", "functional": "GGA-PBE", "state": "relaxed", "space_group": "No. 38", "dft_energy_ev_per_cell": -13.6, "lattice": [[2.952, 0.000, 0.000], [0.000, 1.979, 4.808], [0.000, -1.979, 4.808]], "species": ["Zn", "Cd", "H", "Rh"], "fractional_positions": [[0.000, 0.000, 0.000], [0.500, 0.295, 0.295], [0.000, 0.681, 0.681], [0.500, 0.582, 0.582]]}

---

{"formula": "TlTe2Os", "functional": "GGA-PBE", "state": "relaxed", "space_group": "No. 12", "formation_energy_uncorrected_kj_per_mol_fu": 42, "polymorph_energy_mev_per_atom": 0, "lattice": [[3.562, -2.061, 0.000], [3.562, 2.061, 0.000], [-2.380, 0.000, 7.463]], "species": ["Tl", "Te", "Te", "Os"], "fractional_positions": [[0.000, 0.000, 0.000], [0.224, 0.224, 0.672], [0.776, 0.776, 0.328], [0.500, 0.500, 0.500]]}

---

{"formula": "TlTeN", "functional": "GGA-PBE", "state": "relaxed", "space_group": "No. 8", "formation_energy_uncorrected_kj_per_mol_fu": 187, "polymorph_energy_mev_per_atom": 733, "lattice": [[6.242, -1.615, 0.000], [6.242, 1.615, 0.000], [-5.643, 0.000, 7.257]], "species": ["Tl", "Tl", "Te", "Te", "N", "N"], "fractional_positions": [[0.000, 0.000, 0.000], [0.622, 0.622, 0.708], [0.272, 0.272, 0.513], [0.839, 0.839, 0.221], [0.240, 0.240, 0.041], [0.709, 0.709, 0.294]]}

---

{"formula": "Na8LiTl6", "functional": "GGA-PBE", "state": "relaxed", "space_group": "No. 148", "e_form_ev_per_atom": -0.0868, "polymorph_energy_mev_per_atom": 0, "lattice": [[4.492, 2.593, 6.637], [-4.492, 2.593, 6.637], [0.000, -5.187, 6.637]], "species": ["Na", "Na", "Na", "Na", "Na", "Na", "Na", "Na", "Li", "Tl", "Tl", "Tl", "Tl", "Tl", "Tl"], "fractional_positions": [[0.013, 0.395, 0.732], [0.160, 0.160, 0.160], [0.268, 0.987, 0.605], [0.395, 0.732, 0.013], [0.605, 0.268, 0.987], [0.732, 0.013, 0.395], [0.840, 0.840, 0.840], [0.987, 0.605, 0.268], [0.500, 0.500, 0.500], [0.146, 0.765, 0.455], [0.235, 0.545, 0.854], [0.455, 0.146, 0.765], [0.545, 0.854, 0.235], [0.765, 0.455, 0.146], [0.854, 0.235, 0.545]]}

---

{"formula": "Ac5In2Ir", "functional": "GGA-PBE", "state": "relaxed", "space_group": "No. 63", "e_form_ev_per_atom": -0.2875, "polymorph_energy_mev_per_atom": 150, "lattice": [[3.053, -5.996, 0.000], [3.053, 5.996, 0.000], [0.000, 0.000, 16.737]], "species": ["Ac", "Ac", "Ac", "Ac", "Ac", "Ac", "Ac", "Ac", "Ac", "Ac", "In", "In", "In", "In", "Ir", "Ir"], "fractional_positions": [[0.092, 0.908, 0.616], [0.092, 0.908, 0.884], [0.249, 0.751, 0.250], [0.408, 0.592, 0.616], [0.408, 0.592, 0.884], [0.592, 0.408, 0.116], [0.592, 0.408, 0.384], [0.751, 0.249, 0.750], [0.908, 0.092, 0.116], [0.908, 0.092, 0.384], [0.250, 0.750, 0.052], [0.250, 0.750, 0.448], [0.750, 0.250, 0.552], [0.750, 0.250, 0.948], [0.250, 0.750, 0.750], [0.750, 0.250, 0.250]]}

---

{"formula": "Ta3PtRh", "functional": "GGA-PBE", "state": "relaxed", "space_group": "No. 221", "e_form_ev_per_atom": 1.0424, "polymorph_energy_mev_per_atom": 0, "lattice": [[4.735, 0.000, 0.000], [0.000, 4.735, 0.000], [0.000, 0.000, 4.735]], "species": ["Ta", "Ta", "Ta", "Pt", "Rh"], "fractional_positions": [[0.000, 0.000, 0.500], [0.000, 0.500, 0.000], [0.500, 0.000, 0.000], [0.500, 0.500, 0.500], [0.000, 0.000, 0.000]]}

---

{"formula": "Tb2Pr4Dy5", "functional": "GGA-PBE", "state": "relaxed", "space_group": "No. 71", "e_form_ev_per_atom": 0.2774, "polymorph_energy_mev_per_atom": 171, "lattice": [[-1.760, 4.661, 11.550], [1.760, -4.661, 11.550], [1.760, 4.661, -11.550]], "species": ["Tb", "Tb", "Pr", "Pr", "Pr", "Pr", "Dy", "Dy", "Dy", "Dy", "Dy"], "fractional_positions": [[0.230, 0.230, 0.000], [0.770, 0.770, 0.000], [0.096, 0.096, 0.000], [0.207, 0.500, 0.707], [0.793, 0.500, 0.293], [0.904, 0.904, 0.000], [0.153, 0.352, 0.801], [0.449, 0.648, 0.801], [0.500, 0.000, 0.500], [0.551, 0.352, 0.199], [0.847, 0.648, 0.199]]}

---

{"formula": "NaLa2I", "functional": "GGA-PBE", "state": "relaxed", "space_group": "No. 122", "formation_energy_uncorrected_kj_per_mol_fu": -51, "polymorph_energy_mev_per_atom": 45, "lattice": [[-4.613, 4.613, 3.421], [4.613, -4.613, 3.421], [4.613, 4.613, -3.421]], "species": ["Na", "Na", "La", "La", "La", "La", "I", "I"], "fractional_positions": [[0.000, 0.000, 0.000], [0.750, 0.250, 0.500], [0.155, 0.125, 0.530], [0.375, 0.845, 0.970], [0.595, 0.625, 0.470], [0.875, 0.405, 0.030], [0.250, 0.750, 0.500], [0.500, 0.500, 0.000]]}

---

{"formula": "NpIn2As2Pd7", "functional": "GGA-PBE", "state": "relaxed", "space_group": "No. 12", "e_form_ev_per_atom": -0.3199, "lattice": [[2.827, -2.839, 0.000], [2.827, 2.839, 0.000], [-1.610, 0.000, 14.823]], "species": ["Np", "In", "In", "As", "As", "Pd", "Pd", "Pd", "Pd", "Pd", "Pd", "Pd"], "fractional_positions": [[0.000, 0.000, 0.000], [0.119, 0.119, 0.408], [0.881, 0.881, 0.592], [0.425, 0.425, 0.750], [0.575, 0.575, 0.250], [0.046, 0.545, 0.148], [0.387, 0.387, 0.584], [0.455, 0.954, 0.852], [0.500, 0.500, 0.000], [0.545, 0.046, 0.148], [0.613, 0.613, 0.416], [0.954, 0.455, 0.852]]}

---

{"formula": "NiAs2Ru", "functional": "GGA-PBE", "state": "relaxed", "space_group": "No. 166", "e_form_ev_per_atom": -0.0558, "polymorph_energy_mev_per_atom": 64, "lattice": [[1.512, 0.873, 7.338], [-1.512, 0.873, 7.338], [0.000, -1.746, 7.338]], "species": ["Ni", "As", "As", "Ru"], "fractional_positions": [[0.000, 0.000, 0.000], [0.252, 0.252, 0.252], [0.748, 0.748, 0.748], [0.500, 0.500, 0.500]]}

---

{"formula": "SmRuO4", "functional": "GGA-PBE", "state": "relaxed", "space_group": "No. 15", "formation_energy_uncorrected_kj_per_mol_fu": -1085, "polymorph_energy_mev_per_atom": 92, "lattice": [[5.622, -2.577, 0.000], [5.622, 2.577, 0.000], [-1.858, 0.000, 5.136]], "species": ["Sm", "Sm", "Ru", "Ru", "O", "O", "O", "O", "O", "O", "O", "O"], "fractional_positions": [[0.224, 0.776, 0.750], [0.776, 0.224, 0.250], [0.000, 0.500, 0.000], [0.500, 0.000, 0.500], [0.124, 0.209, 0.659], [0.209, 0.124, 0.159], [0.312, 0.494, 0.042], [0.494, 0.312, 0.542], [0.506, 0.688, 0.458], [0.688, 0.506, 0.958], [0.791, 0.876, 0.841], [0.876, 0.791, 0.341]]}

---

{"formula": "RbCS2", "functional": "GGA-PBE", "state": "relaxed", "space_group": "No. 1", "formation_energy_uncorrected_kj_per_mol_fu": -20, "lattice": [[4.769, 0.000, 0.000], [0.278, 5.092, 0.000], [2.265, 2.391, 5.577]], "species": ["Rb", "C", "S", "S"], "fractional_positions": [[0.000, 0.000, 0.000], [0.628, 0.599, 0.832], [0.438, 0.427, 0.119], [0.674, 0.906, 0.608]]}